Below is a relaxed LiHgBr2 crystal, with properties calculated at the PBE-GGA level.

Structure (extended XYZ):
```
4
Lattice="0.000 3.722 3.722 3.722 0.000 3.722 3.722 3.722 0.000" Properties=species:S:1:pos:R:3 pbc="T T T"
Li 0.000 0.000 0.000
Hg 3.722 3.722 3.722
Br 1.861 1.861 1.861
Br 5.583 5.583 5.583
```

Properties
ΔE_f (raw)   -564 meV/atom
Crystal system   cubic
Space group   Fm-3m (225)
DOS(E_F)   3.3 states/eV/cell
Total DFT energy (no corrections)   -1.95 eV/atom
Energy above the lowest structure with this stoichiometry   0.95 eV per formula unit

---

Below is a relaxed Pr4TeCI2 crystal, with properties calculated at the PBE-GGA level.

Structure (extended XYZ):
```
8
Lattice="7.760 0.000 0.000 0.000 4.126 0.000 -2.365 0.000 7.734" Properties=species:S:1:pos:R:3 pbc="T T T"
Pr 1.020 0.000 1.404
Pr -0.314 2.063 6.243
Pr 5.710 2.063 1.491
Pr 4.375 0.000 6.330
Te 3.880 0.000 0.000
C 0.000 2.063 0.000
I -1.182 0.000 3.867
I 2.698 2.063 3.867
```

Properties
ΔE_f (raw)   -929 meV/atom
Crystal system   monoclinic
Space group   P2/m (10)
DOS(E_F)   1.5 states/eV/cell
Total DFT energy (no corrections)   -5.25 eV/atom

---

Below is a relaxed K4Cu3AgCl12 crystal, with properties calculated at the PBE-GGA level.

Structure (extended XYZ):
```
20
Lattice="-4.928 4.928 4.928 4.928 -4.928 4.928 4.928 4.928 -4.928" Properties=species:S:1:pos:R:3 pbc="T T T"
K 2.464 2.464 -2.464
K 2.464 -2.464 2.464
K -2.464 2.464 2.464
K 2.464 2.464 2.464
Cu 4.928 0.000 0.000
Cu 0.000 4.928 0.000
Cu 0.000 0.000 4.928
Ag 0.000 0.000 0.000
Cl 2.595 0.000 0.000
Cl 7.261 0.000 0.000
Cl 4.928 2.464 0.000
Cl 4.928 0.000 2.464
Cl 0.000 2.595 0.000
Cl 0.000 0.000 2.595
Cl 2.464 4.928 0.000
Cl 2.464 0.000 4.928
Cl 0.000 7.261 0.000
Cl 0.000 0.000 7.261
Cl 0.000 4.928 2.464
Cl 0.000 2.464 4.928
```

Properties
ΔE_f (raw)   -1071 meV/atom
Crystal system   cubic
Space group   Im-3m (229)
DOS(E_F)   6.6 states/eV/cell
Total DFT energy (no corrections)   -3.16 eV/atom

---

Below is a relaxed HgTe2Au crystal, with properties calculated at the PBE-GGA level.

Structure (extended XYZ):
```
8
Lattice="-3.239 3.239 6.418 3.239 -3.239 6.418 3.239 3.239 -6.418" Properties=species:S:1:pos:R:3 pbc="T T T"
Hg 0.000 0.000 0.000
Hg 0.000 3.239 3.209
Te 1.619 -1.487 4.813
Te 1.752 1.619 1.604
Te 1.619 4.725 -1.604
Te 1.487 1.619 8.022
Au 3.239 0.000 3.209
Au 0.000 0.000 6.418
```

Properties
ΔE_f (raw)   -71 meV/atom
Crystal system   tetragonal
Space group   I-42d (122)
DOS(E_F)   7.1 states/eV/cell
Total DFT energy (no corrections)   -2.54 eV/atom

---

Below is a relaxed K4Y3TlO8 crystal, with properties calculated at the PBE-GGA level.

Structure (extended XYZ):
```
16
Lattice="3.486 2.013 6.277 -3.486 2.013 6.277 0.000 -4.026 6.277" Properties=species:S:1:pos:R:3 pbc="T T T"
K 0.000 0.000 0.000
K -1.743 -1.006 6.277
K -1.743 1.006 12.554
K 0.000 2.013 6.277
Y -3.486 0.000 9.416
Y -1.743 1.006 3.139
Y 1.743 1.006 3.139
Tl 0.000 0.000 9.416
O -1.782 -1.029 10.627
O 0.000 0.000 4.292
O 0.000 -2.057 8.204
O -1.782 1.029 8.204
O 1.782 -1.029 10.627
O 0.000 2.057 10.627
O 0.000 0.000 14.540
O 1.782 1.029 8.204
```

Properties
ΔE_f (raw)   -2304 meV/atom
Crystal system   trigonal
Space group   R-3m (166)
DOS(E_F)   0.0 states/eV/cell
Total DFT energy (no corrections)   -6.42 eV/atom

---

Below is a relaxed LiLuHfAl crystal, with properties calculated at the PBE-GGA level.

Structure (extended XYZ):
```
4
Lattice="0.000 3.434 3.434 3.434 0.000 3.434 3.434 3.434 0.000" Properties=species:S:1:pos:R:3 pbc="T T T"
Li 0.000 0.000 0.000
Lu 1.717 1.717 1.717
Hf 5.151 5.151 5.151
Al 3.434 3.434 3.434
```

Properties
Crystal system   cubic
Space group   F-43m (216)
DOS(E_F)   2.0 states/eV/cell
Total DFT energy (no corrections)   -5.12 eV/atom
ΔH_f (0 K)   -0.3 eV per formula unit